(1)
First-principles (PBE) data for a geometry-optimized DyTa2VC4 structure, as listed in Alexandria.

Computed properties:
The total energy is -9.68 eV per atom. The magnetic moment comes out at 0.0 μB per formula unit. The density comes out at 10.3 g cm⁻³. The calculation puts the density of states at the Fermi level at 3.379 states/eV/f.u. The crystal system is orthorhombic.

a b c (Å): 3.2107 11.1386 11.1884
angles (deg): 90.00 90.00 90.00
Closest atoms and distances in Å follow each position.
Space group Cmcm (No. 63)
Asymmetric unit:
Dy: 0.0000 0.1106 0.2500 x4  6 C 2.48-2.62
Ta: 0.0000 0.3696 0.0398 x8  5 C 2.10-2.33
V: 0.0000 0.1590 0.7500 x4  4 C 1.90-1.95
C: 0.0000 0.0000 0.0000 x4  4 Ta 2.21
C: 0.0000 0.2623 0.6145 x8  1 V 1.90, 1 Ta 2.10
C: 0.0000 0.4410 0.2500 x4  2 V 1.95

***

(2)
First-principles (PBE) data for a geometry-optimized Li3NiSn structure, as listed in Alexandria.

Computed properties:
The value obtained for the distance to the lowest polymorph of the same formula is 791.9 meV per atom. The total energy is -2.43 eV per atom. The magnetic moment comes out at 0.0 μB per formula unit. The density comes out at 2.7 g cm⁻³. The calculation puts the density of states at the Fermi level at 13.791 states/eV/f.u. The crystal system is cubic.

a b c (Å): 4.9623 4.9623 4.9623
angles (deg): 90.00 90.00 90.00
Closest atoms and distances in Å follow each position.
Space group Pm-3m (No. 221)
Asymmetric unit:
Li: 0.0000 0.0000 0.5000 x3  2 Sn 2.48
Ni: 0.5000 0.5000 0.5000 x1  12 Li 3.51
Sn: 0.0000 0.0000 0.0000 x1  6 Li 2.48